# 1
Computed, not measured: an optimized crystal structure of CdSiOs2C at the PBE level of DFT.

Cell lengths 4.655, 4.655, 3.590 Å; angles 90.00, 90.00, 90.00 degrees
Atoms (fractional coordinates):
Cd 0.000 0.000 0.000
Si 0.500 0.500 0.500
Os 0.000 0.500 0.500
Os 0.500 0.000 0.500
C 0.500 0.500 0.000

Results
energy relative to the elements, uncorrected	1.5620	eV per atom
space-group type	P4/mmm (123)

---

# 2
Computed, not measured: an optimized crystal structure of CdSn2OsC at the PBE level of DFT.

Cell lengths 4.687, 4.687, 4.266 Å; angles 90.00, 90.00, 90.00 degrees
Atoms (fractional coordinates):
Cd 0.000 0.000 0.000
Sn 0.000 0.500 0.500
Sn 0.500 0.000 0.500
Os 0.500 0.500 0.000
C 0.000 0.000 0.500

Results
calculated formation energy	129.09	kJ/mol of atoms
space-group type	P4/mmm (123)